# Li2NpSiN4, relaxed, DFT PBE
data_Li2NpSiN4
_space_group_name_H-M_alt 'P 1'
_space_group_IT_number 1
_space_group_name_Hall 'P 1'
_cell_length_a 3.291
_cell_length_b 5.064
_cell_length_c 5.293
_cell_angle_alpha 104.25
_cell_angle_beta 90.00
_cell_angle_gamma 90.00
loop_
_atom_site_label
_atom_site_type_symbol
_atom_site_fract_x
_atom_site_fract_y
_atom_site_fract_z
N1 N 0.000 0.235 0.790
N2 N 0.000 0.765 0.210
N3 N 0.500 0.778 0.789
N4 N 0.500 0.222 0.211
Np1 Np 0.500 0.500 0.000
Li1 Li 0.000 0.500 0.500
Li2 Li 0.500 0.000 0.500
Si1 Si 0.000 0.000 0.000
# SG   No. 10
# Formation energy (no corrections)   -5.3 eV per formula unit
# Density of states at the Fermi level   0.315 states/eV/atom

***

# Li3Np3SiN8, relaxed, DFT PBE
data_Li3Np3SiN8
_space_group_name_H-M_alt 'P 1'
_space_group_IT_number 1
_space_group_name_Hall 'P 1'
_cell_length_a 6.539
_cell_length_b 6.556
_cell_length_c 6.271
_cell_angle_alpha 121.42
_cell_angle_beta 90.00
_cell_angle_gamma 119.92
loop_
_atom_site_label
_atom_site_type_symbol
_atom_site_fract_x
_atom_site_fract_y
_atom_site_fract_z
N1 N 0.782 0.022 0.303
N2 N 0.780 0.561 0.302
N3 N 0.260 0.520 0.280
N4 N 0.218 0.978 0.697
N5 N 0.760 0.978 0.697
N6 N 0.240 0.022 0.303
N7 N 0.740 0.480 0.720
N8 N 0.220 0.439 0.698
Np1 Np 0.500 0.000 0.500
Np2 Np 0.500 0.500 0.500
Np3 Np 0.000 0.500 0.500
Li1 Li 0.000 0.000 0.000
Li2 Li 0.500 0.500 0.000
Li3 Li 0.000 0.500 0.000
Si1 Si 0.000 0.000 0.500
# SG   No. 12
# Formation energy (no corrections)   -9.7 eV per formula unit
# Density of states at the Fermi level   0.649 states/eV/atom

***

# LiSmNp2N4, relaxed, DFT PBE
data_LiSmNp2N4
_space_group_name_H-M_alt 'P 1'
_space_group_IT_number 1
_space_group_name_Hall 'P 1'
_cell_length_a 3.481
_cell_length_b 5.865
_cell_length_c 11.155
_cell_angle_alpha 90.00
_cell_angle_beta 90.00
_cell_angle_gamma 107.27
loop_
_atom_site_label
_atom_site_type_symbol
_atom_site_fract_x
_atom_site_fract_y
_atom_site_fract_z
Sm1 Sm 0.894 0.788 0.250
Sm2 Sm 0.106 0.212 0.750
N1 N 0.556 0.111 0.250
N2 N 0.734 0.468 0.889
N3 N 0.000 0.000 0.500
N4 N 0.266 0.532 0.111
N5 N 0.000 0.000 0.000
N6 N 0.444 0.889 0.750
N7 N 0.266 0.532 0.389
N8 N 0.734 0.468 0.611
Li1 Li 0.161 0.323 0.250
Li2 Li 0.839 0.677 0.750
Np1 Np 0.371 0.741 0.942
Np2 Np 0.629 0.259 0.442
Np3 Np 0.371 0.741 0.558
Np4 Np 0.629 0.259 0.058
# SG   No. 63
# Formation energy (no corrections)   -9.0 eV per formula unit
# Density of states at the Fermi level   1.375 states/eV/atom

***

# Li2NpSnN4, relaxed, DFT PBE
data_Li2NpSnN4
_space_group_name_H-M_alt 'P 1'
_space_group_IT_number 1
_space_group_name_Hall 'P 1'
_cell_length_a 3.379
_cell_length_b 5.492
_cell_length_c 5.498
_cell_angle_alpha 107.61
_cell_angle_beta 90.00
_cell_angle_gamma 90.00
loop_
_atom_site_label
_atom_site_type_symbol
_atom_site_fract_x
_atom_site_fract_y
_atom_site_fract_z
N1 N 0.000 0.707 0.218
N2 N 0.500 0.767 0.779
N3 N 0.500 0.233 0.221
N4 N 0.000 0.293 0.782
Np1 Np 0.500 0.500 0.000
Li1 Li 0.500 0.000 0.500
Li2 Li 0.000 0.500 0.500
Sn1 Sn 0.000 0.000 0.000
# SG   No. 10
# Formation energy (no corrections)   -3.8 eV per formula unit
# Density of states at the Fermi level   0.287 states/eV/atom

***

# Li3Np3SnN8, relaxed, DFT PBE
data_Li3Np3SnN8
_space_group_name_H-M_alt 'P 1'
_space_group_IT_number 1
_space_group_name_Hall 'P 1'
_cell_length_a 6.751
_cell_length_b 6.752
_cell_length_c 6.396
_cell_angle_alpha 121.86
_cell_angle_beta 90.00
_cell_angle_gamma 120.00
loop_
_atom_site_label
_atom_site_type_symbol
_atom_site_fract_x
_atom_site_fract_y
_atom_site_fract_z
N1 N 0.761 0.522 0.292
N2 N 0.730 0.969 0.708
N3 N 0.761 0.031 0.292
N4 N 0.239 0.478 0.708
N5 N 0.270 0.031 0.292
N6 N 0.264 0.528 0.293
N7 N 0.736 0.472 0.707
N8 N 0.239 0.969 0.708
Li1 Li 0.000 0.000 0.000
Li2 Li 0.500 0.500 0.000
Li3 Li 0.000 0.500 0.000
Np1 Np 0.500 0.500 0.500
Np2 Np 0.500 0.000 0.500
Np3 Np 0.000 0.500 0.500
Sn1 Sn 0.000 0.000 0.500
# SG   No. 166
# Formation energy (no corrections)   -8.3 eV per formula unit
# Density of states at the Fermi level   0.878 states/eV/atom

***

# SrLiNpN3, relaxed, DFT PBE
data_SrLiNpN3
_space_group_name_H-M_alt 'P 1'
_space_group_IT_number 1
_space_group_name_Hall 'P 1'
_cell_length_a 3.568
_cell_length_b 7.280
_cell_length_c 7.129
_cell_angle_alpha 105.96
_cell_angle_beta 90.00
_cell_angle_gamma 90.00
loop_
_atom_site_label
_atom_site_type_symbol
_atom_site_fract_x
_atom_site_fract_y
_atom_site_fract_z
Np1 Np 0.750 0.320 0.838
Np2 Np 0.250 0.680 0.162
Li1 Li 0.750 0.926 0.411
Li2 Li 0.250 0.074 0.589
N1 N 0.750 0.205 0.552
N2 N 0.250 0.146 0.868
N3 N 0.750 0.451 0.134
N4 N 0.250 0.795 0.448
N5 N 0.250 0.549 0.866
N6 N 0.750 0.854 0.132
Sr1 Sr 0.250 0.206 0.243
Sr2 Sr 0.750 0.794 0.757
# SG   No. 11
# Formation energy (no corrections)   -5.4 eV per formula unit
# Density of states at the Fermi level   0.516 states/eV/atom

***

# SrLiNp2N4, relaxed, DFT PBE
data_SrLiNp2N4
_space_group_name_H-M_alt 'P 1'
_space_group_IT_number 1
_space_group_name_Hall 'P 1'
_cell_length_a 3.537
_cell_length_b 5.943
_cell_length_c 11.301
_cell_angle_alpha 90.00
_cell_angle_beta 90.00
_cell_angle_gamma 107.31
loop_
_atom_site_label
_atom_site_type_symbol
_atom_site_fract_x
_atom_site_fract_y
_atom_site_fract_z
Np1 Np 0.370 0.740 0.559
Np2 Np 0.370 0.740 0.941
Np3 Np 0.630 0.260 0.059
Np4 Np 0.630 0.260 0.441
N1 N 0.000 0.000 0.500
N2 N 0.254 0.508 0.099
N3 N 0.425 0.851 0.750
N4 N 0.746 0.492 0.599
N5 N 0.746 0.492 0.901
N6 N 0.575 0.149 0.250
N7 N 0.000 0.000 0.000
N8 N 0.254 0.508 0.401
Sr1 Sr 0.899 0.798 0.250
Sr2 Sr 0.101 0.202 0.750
Li1 Li 0.168 0.336 0.250
Li2 Li 0.832 0.664 0.750
# SG   No. 63
# Formation energy (no corrections)   -8.4 eV per formula unit
# Density of states at the Fermi level   1.279 states/eV/atom

***

# SrLiNp4N8, relaxed, DFT PBE
data_SrLiNp4N8
_space_group_name_H-M_alt 'P 1'
_space_group_IT_number 1
_space_group_name_Hall 'P 1'
_cell_length_a 6.910
_cell_length_b 6.910
_cell_length_c 6.597
_cell_angle_alpha 58.42
_cell_angle_beta 58.42
_cell_angle_gamma 60.00
loop_
_atom_site_label
_atom_site_type_symbol
_atom_site_fract_x
_atom_site_fract_y
_atom_site_fract_z
Np1 Np 0.615 0.615 0.154
Np2 Np 0.002 0.002 0.501
Np3 Np 0.495 0.002 0.501
Np4 Np 0.002 0.495 0.501
N1 N 0.213 0.745 0.297
N2 N 0.745 0.213 0.297
N3 N 0.237 0.827 0.699
N4 N 0.760 0.760 0.721
N5 N 0.237 0.237 0.699
N6 N 0.827 0.237 0.699
N7 N 0.745 0.745 0.297
N8 N 0.231 0.231 0.308
Li1 Li 0.006 0.006 0.983
Sr1 Sr 0.386 0.386 0.841
# SG   No. 160
# Formation energy (no corrections)   -12.6 eV per formula unit
# Density of states at the Fermi level   1.276 states/eV/atom